Material: K4La3VO8
Method: DFT, PBE+U
State: relaxed

CIF file:
```
data_K4La3VO8
_chemical_formula_sum 'K8 La6 V2 O16'
_symmetry_space_group_name_H-M 'C 1 2/m 1'
_symmetry_Int_Tables_number 12
_symmetry_space_group_name_Hall '-C 2y'
_cell_length_a 12.5345
_cell_length_b 7.1445
_cell_length_c 7.5117
_cell_angle_alpha 90.00
_cell_angle_beta 123.49
_cell_angle_gamma 90.00
loop_
_atom_site_label
_atom_site_fract_x
_atom_site_fract_y
_atom_site_fract_z
_atom_site_occupancy
K1 0.0000 0.0000 0.0000 1
K2 0.0000 0.5000 0.0000 1
K3 0.2500 0.2500 0.0000 1
La1 0.0000 0.0000 0.5000 1
La2 0.2500 0.2500 0.5000 1
V1 0.0000 0.5000 0.5000 1
O1 0.0145 0.2790 0.3222 1
O2 0.2297 0.0000 0.6950 1
O3 0.2326 0.5000 0.6992 1
```

Calculated values
Magnetic moment, μB/f.u.: 2.0
Energy, eV/atom: -6.52